The following is a PBE calculation of a geometry-optimized Tl2ZnSb structure, from Alexandria.

abc: 10.8254 10.8254 10.8254
angles: 18.38 18.38 18.38
With the nearest neighbours (Å) after each atom.
Sites, in units of the cell vectors:
1 Tl 0.5047 0.5047 0.5047  3 Zn 3.21, 3 Sb 3.45, 6 Tl 3.46
2 Tl 0.9953 0.9953 0.9953  3 Zn 3.21, 3 Sb 3.45, 6 Tl 3.46
3 Zn 0.2500 0.2500 0.2500  6 Tl 3.21, 6 Zn 3.46
4 Sb 0.7500 0.7500 0.7500  6 Tl 3.45, 6 Sb 3.46

Output
* E above lowest polymorph: 151 meV/atom
* ΔE_f (raw): 0.174 eV per atom
* E: -9.43 eV per cell


The following is a PBE calculation of a geometry-optimized ScRu4Pb structure, from Alexandria.

abc: 5.2381 5.2381 5.2381
angles: 60.00 60.00 60.00
With the nearest neighbours (Å) after each atom.
Sites, in units of the cell vectors:
1 Pb 0.0000 0.0000 0.0000  12 Ru 3.07, 4 Sc 3.21
2 Sc 0.7500 0.7500 0.7500  12 Ru 3.07, 4 Pb 3.21
3 Ru 0.3747 0.8758 0.3747  6 Ru 2.61-2.62
4 Ru 0.3747 0.3747 0.8758  6 Ru 2.61-2.62
5 Ru 0.3747 0.3747 0.3747  6 Ru 2.61-2.62
6 Ru 0.8758 0.3747 0.3747  6 Ru 2.61-2.62

Output
* formation enthalpy at 0 K: 0.6 eV per formula unit
* E: -46.53 eV per cell


The following is a PBE calculation of a geometry-optimized CrFeRh4 structure, from Alexandria.

abc: 5.0746 5.0746 5.0746
angles: 60.00 60.00 60.00
With the nearest neighbours (Å) after each atom.
Sites, in units of the cell vectors:
1 Rh 0.8751 0.3750 0.3750  6 Rh 2.54
2 Rh 0.3750 0.8751 0.3750  6 Rh 2.54
3 Rh 0.3750 0.3750 0.8751  6 Rh 2.54
4 Rh 0.3750 0.3750 0.3750  6 Rh 2.54
5 Fe 0.0000 0.0000 0.0000  12 Rh 2.98, 4 Cr 3.11
6 Cr 0.7500 0.7500 0.7500  12 Rh 2.98, 4 Fe 3.11

Output
* E above lowest polymorph: 361 meV/atom
* formation enthalpy at 0 K: 2.3 eV per formula unit
* E: -45.22 eV per cell


The following is a PBE calculation of a geometry-optimized Ac2La4Pr3 structure, from Alexandria.

abc: 9.2598 8.8707 9.0584
angles: 90.00 90.00 110.87
With the nearest neighbours (Å) after each atom.
Sites, in units of the cell vectors:
1 Pr 0.2546 0.2433 0.6699  6 La 3.31-3.57
2 Pr 0.2454 0.7567 0.1699  6 La 3.31-3.57
3 Pr 0.7546 0.2433 0.8301  6 La 3.31-3.57
4 Pr 0.5000 0.5000 0.0000  6 La 3.46-3.57
5 Pr 0.7454 0.7567 0.3301  6 La 3.31-3.57
6 Pr 0.0000 0.5000 0.5000  6 La 3.46-3.57
7 Ac 0.4524 0.8291 0.6530  7 La 3.70-3.90, 1 Ac 3.97, 1 Pr 4.07
8 Ac 0.5476 0.1709 0.3470  7 La 3.70-3.90, 1 Ac 3.97, 1 Pr 4.07
9 Ac 0.0476 0.1709 0.1530  7 La 3.70-3.90, 1 Ac 3.97, 1 Pr 4.07
10 Ac 0.9524 0.8291 0.8470  7 La 3.70-3.90, 1 Ac 3.97, 1 Pr 4.07
11 La 0.6454 0.5152 0.6402  5 Pr 3.40-3.57, 1 La 3.64, 1 Ac 3.70
12 La 0.6321 0.9148 0.0373  4 Pr 3.31-3.56, 1 La 3.37
13 La 0.8546 0.4848 0.1402  5 Pr 3.40-3.57, 1 La 3.64, 1 Ac 3.70
14 La 0.1454 0.5152 0.8598  5 Pr 3.40-3.57, 1 La 3.64, 1 Ac 3.70
15 La 0.1321 0.9148 0.4627  4 Pr 3.31-3.56, 1 La 3.37
16 La 0.8679 0.0852 0.5373  4 Pr 3.31-3.56, 1 La 3.37
17 La 0.3546 0.4848 0.3598  5 Pr 3.40-3.57, 1 La 3.64, 1 Ac 3.70
18 La 0.3679 0.0852 0.9627  4 Pr 3.31-3.56, 1 La 3.37

Output
* E above lowest polymorph: 51 meV/atom
* formation enthalpy at 0 K: 1.1 eV per formula unit
* E: -82.38 eV per cell